No. 1
A plane-wave DFT calculation with GGA-PBE was carried out for a relaxed structure of CuNiP4.

Properties
DFT formation energy   0.715 eV/atom
VASP energy   -4.5383 eV per atom

Cell and atoms, written as extended XYZ:
```
6
Lattice="0.000 3.502 3.502 3.502 0.000 3.502 3.502 3.502 0.000" Properties=species:S:1:pos:R:3 pbc="T T T"
P 2.653 2.653 2.653
P 4.351 2.653 4.351
P 2.653 4.351 4.351
P 4.351 4.351 2.653
Cu 5.253 5.253 5.253
Ni 0.000 0.000 0.000
```

---

No. 2
A plane-wave DFT calculation with GGA-PBE was carried out for a relaxed structure of CuNiP2.

Properties
DFT formation energy   0.124 eV/atom
VASP energy   -5.0503 eV per atom

Cell and atoms, written as extended XYZ:
```
4
Lattice="2.750 0.007 0.000 -0.034 2.750 0.000 0.000 0.000 6.735" Properties=species:S:1:pos:R:3 pbc="T T T"
P 0.000 0.000 6.616
P 0.000 0.000 3.486
Ni 1.358 1.379 5.051
Cu 1.358 1.379 1.684
```

---

No. 3
A plane-wave DFT calculation with GGA-PBE was carried out for a relaxed structure of Cu2NiP.

Properties
DFT formation energy   0.031 eV/atom
VASP energy   -4.8151 eV per atom

Cell and atoms, written as extended XYZ:
```
4
Lattice="-3.516 -4.680 -5.139 -3.631 -6.240 -2.923 -5.527 -4.348 -3.350" Properties=species:S:1:pos:R:3 pbc="T T T"
Cu -9.531 -11.482 -8.582
Cu -12.633 -15.219 -11.374
P -3.090 -3.723 -2.782
Ni -6.431 -7.747 -5.790
```